Entry 1:
Here is a geometry-optimized SrHF2 structure from Alexandria via LeMat-Bulk. Energies are from GGA-PBE.

Unit cell a=6.1179 b=6.1179 c=6.1179 alpha=36.67 beta=36.67 gamma=36.67
Atoms (fractional coordinates):
Sr 0.0000 0.0000 0.0000
H 0.5000 0.5000 0.5000
F 0.4322 0.4322 0.4322
F 0.5678 0.5678 0.5678

Volume   18.28 A^3/atom
Theoretical density   2.876 g/cm3
E above lowest polymorph   122 kJ/mol of formula units
Total magnetic moment   0.59 μB/cell

Entry 2:
Here is a geometry-optimized LaMnMo2 structure from Alexandria via LeMat-Bulk. Energies are from GGA-PBE.

Unit cell a=2.9500 b=3.5141 c=7.4405 alpha=90.00 beta=96.65 gamma=90.00
Atoms (fractional coordinates):
La 0.0000 0.0000 0.0000
Mn 0.0000 0.0000 0.5000
Mo 0.4381 0.5000 0.6646
Mo 0.5619 0.5000 0.3354

Volume   19.15 A^3/atom
Energy of formation   0.473 eV per atom
Theoretical density   8.360 g/cm3
E above lowest polymorph   62 kJ/mol of formula units
Total magnetic moment   0.00 μB/cell

Entry 3:
Here is a geometry-optimized CsZnGa3 structure from Alexandria via LeMat-Bulk. Energies are from GGA-PBE.

Unit cell a=6.3737 b=6.3737 c=6.3737 alpha=90.00 beta=90.00 gamma=90.00
Atoms (fractional coordinates):
Cs 0.0000 0.0000 0.0000
Zn 0.5000 0.5000 0.5000
Ga 0.0000 0.0000 0.5000
Ga 0.0000 0.5000 0.0000
Ga 0.5000 0.0000 0.0000

Volume   51.78 A^3/atom
Energy of formation   1.287 eV per atom
Theoretical density   2.613 g/cm3
E above lowest polymorph   501 kJ/mol of formula units
Total magnetic moment   0.00 μB/cell

Entry 4:
Here is a geometry-optimized CaPmAlCd structure from Alexandria via LeMat-Bulk. Energies are from GGA-PBE.

Unit cell a=3.6865 b=3.6865 c=7.8887 alpha=90.00 beta=90.00 gamma=90.00
Atoms (fractional coordinates):
Ca 0.0000 0.0000 0.0000
Pm 0.0000 0.0000 0.4787
Al 0.5000 0.5000 0.2424
Cd 0.5000 0.5000 0.7455

Volume   26.80 A^3/atom
Energy of formation   -0.320 eV per atom
Theoretical density   5.026 g/cm3
E above lowest polymorph   3 kJ/mol of formula units
Total magnetic moment   0.00 μB/cell

Entry 5:
Here is a geometry-optimized Sm2GaCu9 structure from Alexandria via LeMat-Bulk. Energies are from GGA-PBE.

Unit cell a=8.8136 b=8.8136 c=8.8136 alpha=33.82 beta=33.82 gamma=33.82
Atoms (fractional coordinates):
Sm 0.1342 0.1342 0.1342
Sm 0.8658 0.8658 0.8658
Ga 0.0000 0.0000 0.0000
Cu 0.0790 0.5816 0.5816
Cu 0.3330 0.3330 0.3330
Cu 0.4184 0.4184 0.9210
Cu 0.4184 0.9210 0.4184
Cu 0.5000 0.5000 0.5000
Cu 0.5816 0.0790 0.5816
Cu 0.5816 0.5816 0.0790
Cu 0.6670 0.6670 0.6670
Cu 0.9210 0.4184 0.4184

Volume   15.75 A^3/atom
Energy of formation   -0.048 eV per atom
Theoretical density   8.281 g/cm3
Total magnetic moment   0.00 μB/cell

Entry 6:
Here is a geometry-optimized La2Nd5Ho2 structure from Alexandria via LeMat-Bulk. Energies are from GGA-PBE.

Unit cell a=10.2738 b=10.2738 c=10.2738 alpha=85.23 beta=108.06 gamma=140.64
Atoms (fractional coordinates):
La 0.0034 0.1257 0.1292
La 0.0034 0.3743 0.3777
La 0.9966 0.6257 0.6223
La 0.9966 0.8743 0.8708
Nd 0.0829 0.1739 0.6229
Nd 0.0829 0.9600 0.4089
Nd 0.0917 0.6014 0.9904
Nd 0.3986 0.0948 0.1969
Nd 0.3986 0.7018 0.8038
Nd 0.5510 0.4600 0.3771
Nd 0.5510 0.6739 0.5911
Nd 0.6110 0.1014 0.0096
Nd 0.8979 0.2018 0.8031
Nd 0.8979 0.5948 0.1962
Ho 0.4694 0.4694 0.0000
Ho 0.4694 0.9694 0.5000
Ho 0.5297 0.2875 0.7422
Ho 0.5452 0.7875 0.2578

Volume   35.08 A^3/atom
Energy of formation   0.190 eV per atom
Theoretical density   6.989 g/cm3
E above lowest polymorph   148 kJ/mol of formula units
Total magnetic moment   0.00 μB/cell

Entry 7:
Here is a geometry-optimized Ge2PPb structure from Alexandria via LeMat-Bulk. Energies are from GGA-PBE.

Unit cell a=4.9411 b=4.9411 c=4.9411 alpha=60.00 beta=60.00 gamma=60.00
Atoms (fractional coordinates):
Ge 0.2500 0.2500 0.2500
Ge 0.7500 0.7500 0.7500
P 0.0000 0.0000 0.0000
Pb 0.5000 0.5000 0.5000

Volume   21.32 A^3/atom
Energy of formation   0.493 eV per atom
Theoretical density   7.465 g/cm3
E above lowest polymorph   107 kJ/mol of formula units
Total magnetic moment   0.00 μB/cell

Entry 8:
Here is a geometry-optimized In2NiIr2S6 structure from Alexandria via LeMat-Bulk. Energies are from GGA-PBE.

Unit cell a=6.2423 b=6.2423 c=6.8255 alpha=99.21 beta=99.21 gamma=120.01
Atoms (fractional coordinates):
In 0.1706 0.8294 0.0000
In 0.8294 0.1706 0.0000
Ni 0.0000 0.0000 0.5000
Ir 0.3316 0.6684 0.5000
Ir 0.6684 0.3316 0.5000
S 0.0631 0.4022 0.6882
S 0.2585 0.2585 0.3275
S 0.4022 0.0631 0.6882
S 0.5978 0.9369 0.3118
S 0.7415 0.7415 0.6725
S 0.9369 0.5978 0.3118

Volume   19.84 A^3/atom
Theoretical density   6.584 g/cm3
E_form (uncorrected)   -311 meV/atom
Total magnetic moment   0.00 μB/cell